A | # FeHRh3 PBE relaxed
data_FeHRh3
_chemical_formula_sum 'Fe2 H2 Rh6'
_symmetry_space_group_name_H-M 'P 63/m m c'
_symmetry_Int_Tables_number 194
_symmetry_space_group_name_Hall '-P 6c 2c'
_cell_length_a 4.2284
_cell_length_b 4.2284
_cell_length_c 7.6738
_cell_angle_alpha 90.00
_cell_angle_beta 90.00
_cell_angle_gamma 120.00
loop_
_atom_site_label
_atom_site_type_symbol
_atom_site_fract_x
_atom_site_fract_y
_atom_site_fract_z
Fe1 Fe 0.3333 0.6667 0.2500
H1 H 0.0000 0.0000 0.0000
Rh1 Rh 0.0000 0.0000 0.2500
Rh2 Rh 0.3333 0.6667 0.5771
# Fermi-level density of states (states/eV per cell): 13.125
# Density (g cm⁻³): 10.218



B | # FeHRh3 PBE relaxed
data_FeHRh3
_chemical_formula_sum 'Fe8 H8 Rh24'
_symmetry_space_group_name_H-M 'C 1 2/c 1'
_symmetry_Int_Tables_number 15
_symmetry_space_group_name_Hall '-C 2yc'
_cell_length_a 8.8447
_cell_length_b 10.7986
_cell_length_c 4.6784
_cell_angle_alpha 90.00
_cell_angle_beta 91.94
_cell_angle_gamma 90.00
loop_
_atom_site_label
_atom_site_type_symbol
_atom_site_fract_x
_atom_site_fract_y
_atom_site_fract_z
Fe1 Fe 0.1117 0.0567 0.0885
H1 H 0.0000 0.3203 0.7500
H2 H 0.0000 0.4363 0.2500
Rh1 Rh 0.1182 0.1761 0.5780
Rh2 Rh 0.1301 0.3067 0.0871
Rh3 Rh 0.1423 0.4385 0.5915
# Fermi-level density of states (states/eV per cell): 60.241
# Density (g cm⁻³): 10.875



C | # FeHRh3 PBE relaxed
data_FeHRh3
_chemical_formula_sum 'Fe2 H2 Rh6'
_symmetry_space_group_name_H-M 'A m m 2'
_symmetry_Int_Tables_number 38
_symmetry_space_group_name_Hall 'A 2 -2'
_cell_length_a 2.7480
_cell_length_b 7.6289
_cell_length_c 5.4908
_cell_angle_alpha 90.00
_cell_angle_beta 90.00
_cell_angle_gamma 90.00
loop_
_atom_site_label
_atom_site_type_symbol
_atom_site_fract_x
_atom_site_fract_y
_atom_site_fract_z
Fe1 Fe 0.0000 0.0000 0.0000
H1 H 0.5000 0.0000 0.2555
Rh1 Rh 0.0000 0.0000 0.5236
Rh2 Rh 0.5000 0.2490 0.7636
# Fermi-level density of states (states/eV per cell): 10.354
# Density (g cm⁻³): 10.547



Of them, A has the lowest stability.



A | # FeHRh3 PBE relaxed
data_FeHRh3
_chemical_formula_sum 'Fe4 H4 Rh12'
_symmetry_space_group_name_H-M 'C m c m'
_symmetry_Int_Tables_number 63
_symmetry_space_group_name_Hall '-C 2c 2'
_cell_length_a 5.2777
_cell_length_b 12.1814
_cell_length_c 4.7004
_cell_angle_alpha 90.00
_cell_angle_beta 90.00
_cell_angle_gamma 90.00
loop_
_atom_site_label
_atom_site_type_symbol
_atom_site_fract_x
_atom_site_fract_y
_atom_site_fract_z
Fe1 Fe 0.0000 0.1733 0.2500
H1 H 0.0000 0.4176 0.2500
Rh1 Rh 0.0000 0.0000 0.0000
Rh2 Rh 0.2408 0.1719 0.7500
# Fermi-level density of states (states/eV per cell): 26.215
# Density (g cm⁻³): 8.035



B | # FeHRh3 PBE relaxed
data_FeHRh3
_chemical_formula_sum 'Fe4 H4 Rh12'
_symmetry_space_group_name_H-M 'C m m m'
_symmetry_Int_Tables_number 65
_symmetry_space_group_name_Hall '-C 2 2'
_cell_length_a 5.4957
_cell_length_b 10.9724
_cell_length_c 3.8457
_cell_angle_alpha 90.00
_cell_angle_beta 90.00
_cell_angle_gamma 90.00
loop_
_atom_site_label
_atom_site_type_symbol
_atom_site_fract_x
_atom_site_fract_y
_atom_site_fract_z
Fe1 Fe 0.0000 0.1251 0.0000
H1 H 0.0000 0.3796 0.5000
Rh1 Rh 0.0000 0.3704 0.0000
Rh2 Rh 0.2385 0.0000 0.5000
Rh3 Rh 0.2500 0.2500 0.5000
# Fermi-level density of states (states/eV per cell): 15.664
# Density (g cm⁻³): 10.471



C | # FeHRh3 PBE relaxed
data_FeHRh3
_chemical_formula_sum 'Fe1 H1 Rh3'
_symmetry_space_group_name_H-M 'P m -3 m'
_symmetry_Int_Tables_number 221
_symmetry_space_group_name_Hall '-P 4 2 3'
_cell_length_a 3.8747
_cell_length_b 3.8747
_cell_length_c 3.8747
_cell_angle_alpha 90.00
_cell_angle_beta 90.00
_cell_angle_gamma 90.00
loop_
_atom_site_label
_atom_site_type_symbol
_atom_site_fract_x
_atom_site_fract_y
_atom_site_fract_z
Fe1 Fe 0.0000 0.0000 0.0000
H1 H 0.5000 0.5000 0.5000
Rh1 Rh 0.0000 0.5000 0.5000
# Fermi-level density of states (states/eV per cell): 2.335
# Density (g cm⁻³): 10.435



D | # FeHRh3 PBE relaxed
data_FeHRh3
_chemical_formula_sum 'Fe6 H6 Rh18'
_symmetry_space_group_name_H-M 'R -3 c'
_symmetry_Int_Tables_number 167
_symmetry_space_group_name_Hall '-R 3 2"c'
_cell_length_a 7.0691
_cell_length_b 7.0691
_cell_length_c 7.8747
_cell_angle_alpha 90.00
_cell_angle_beta 90.00
_cell_angle_gamma 120.00
loop_
_atom_site_label
_atom_site_type_symbol
_atom_site_fract_x
_atom_site_fract_y
_atom_site_fract_z
Fe1 Fe 0.0000 0.0000 0.0000
H1 H 0.0000 0.0000 0.2500
Rh1 Rh 0.0000 0.2841 0.2500
# Fermi-level density of states (states/eV per cell): 54.196
# Density (g cm⁻³): 10.688



Of them, A has the lowest stability.



A | # FeHRh3 PBE relaxed
data_FeHRh3
_chemical_formula_sum 'Fe4 H4 Rh12'
_symmetry_space_group_name_H-M 'C m c m'
_symmetry_Int_Tables_number 63
_symmetry_space_group_name_Hall '-C 2c 2'
_cell_length_a 5.4648
_cell_length_b 7.7142
_cell_length_c 5.4831
_cell_angle_alpha 90.00
_cell_angle_beta 90.00
_cell_angle_gamma 90.00
loop_
_atom_site_label
_atom_site_type_symbol
_atom_site_fract_x
_atom_site_fract_y
_atom_site_fract_z
Fe1 Fe 0.0000 0.2429 0.2500
H1 H 0.0000 0.4942 0.7500
Rh1 Rh 0.0000 0.2456 0.7500
Rh2 Rh 0.2452 0.0000 0.0000
# Fermi-level density of states (states/eV per cell): 16.466
# Density (g cm⁻³): 10.505



B | # FeHRh3 PBE relaxed
data_FeHRh3
_chemical_formula_sum 'Fe2 H2 Rh6'
_symmetry_space_group_name_H-M 'P 1 c 1'
_symmetry_Int_Tables_number 7
_symmetry_space_group_name_Hall 'P -2yc'
_cell_length_a 4.6712
_cell_length_b 5.3787
_cell_length_c 4.6789
_cell_angle_alpha 90.00
_cell_angle_beta 109.65
_cell_angle_gamma 90.00
loop_
_atom_site_label
_atom_site_type_symbol
_atom_site_fract_x
_atom_site_fract_y
_atom_site_fract_z
Fe1 Fe 0.0000 0.1286 0.0000
H1 H 0.2080 0.1007 0.7523
Rh1 Rh 0.0088 0.3738 0.4992
Rh2 Rh 0.5159 0.3741 0.0028
Rh3 Rh 0.5192 0.1236 0.5056
# Fermi-level density of states (states/eV per cell): 12.309
# Density (g cm⁻³): 10.966



C | # FeHRh3 PBE relaxed
data_FeHRh3
_chemical_formula_sum 'Fe2 H2 Rh6'
_symmetry_space_group_name_H-M 'A m m 2'
_symmetry_Int_Tables_number 38
_symmetry_space_group_name_Hall 'A 2 -2'
_cell_length_a 2.6250
_cell_length_b 5.4726
_cell_length_c 11.2903
_cell_angle_alpha 90.00
_cell_angle_beta 90.00
_cell_angle_gamma 90.00
loop_
_atom_site_label
_atom_site_type_symbol
_atom_site_fract_x
_atom_site_fract_y
_atom_site_fract_z
Fe1 Fe 0.0000 0.0000 0.0000
H1 H 0.5000 0.0000 0.6106
Rh1 Rh 0.0000 0.2465 0.6570
Rh2 Rh 0.5000 0.0000 0.8225
# Fermi-level density of states (states/eV per cell): 15.837
# Density (g cm⁻³): 7.485



D | # FeHRh3 PBE relaxed
data_FeHRh3
_chemical_formula_sum 'Fe4 H4 Rh12'
_symmetry_space_group_name_H-M 'C 1 2/m 1'
_symmetry_Int_Tables_number 12
_symmetry_space_group_name_Hall '-C 2y'
_cell_length_a 13.4731
_cell_length_b 2.7155
_cell_length_c 6.7251
_cell_angle_alpha 90.00
_cell_angle_beta 99.99
_cell_angle_gamma 90.00
loop_
_atom_site_label
_atom_site_type_symbol
_atom_site_fract_x
_atom_site_fract_y
_atom_site_fract_z
Fe1 Fe 0.1034 0.0000 0.0744
H1 H 0.0938 0.5000 0.5679
Rh1 Rh 0.0294 0.0000 0.7119
Rh2 Rh 0.1649 0.0000 0.4471
Rh3 Rh 0.2048 0.5000 0.8323
# Fermi-level density of states (states/eV per cell): 20.428
# Density (g cm⁻³): 10.021



Of them, C has the lowest stability.



A | # FeHRh3 PBE relaxed
data_FeHRh3
_chemical_formula_sum 'Fe4 H4 Rh12'
_symmetry_space_group_name_H-M 'C m c m'
_symmetry_Int_Tables_number 63
_symmetry_space_group_name_Hall '-C 2c 2'
_cell_length_a 3.7375
_cell_length_b 8.6030
_cell_length_c 7.4170
_cell_angle_alpha 90.00
_cell_angle_beta 90.00
_cell_angle_gamma 90.00
loop_
_atom_site_label
_atom_site_type_symbol
_atom_site_fract_x
_atom_site_fract_y
_atom_site_fract_z
Fe1 Fe 0.0000 0.2423 0.2500
H1 H 0.0000 0.4742 0.2500
Rh1 Rh 0.0000 0.0563 0.7500
Rh2 Rh 0.0000 0.3567 0.5598
# Fermi-level density of states (states/eV per cell): 27.679
# Density (g cm⁻³): 10.182



B | # FeHRh3 PBE relaxed
data_FeHRh3
_chemical_formula_sum 'Fe2 H2 Rh6'
_symmetry_space_group_name_H-M 'P -1'
_symmetry_Int_Tables_number 2
_symmetry_space_group_name_Hall '-P 1'
_cell_length_a 4.7257
_cell_length_b 4.7440
_cell_length_c 5.4555
_cell_angle_alpha 90.36
_cell_angle_beta 90.31
_cell_angle_gamma 109.80
loop_
_atom_site_label
_atom_site_type_symbol
_atom_site_fract_x
_atom_site_fract_y
_atom_site_fract_z
Fe1 Fe 0.9999 0.2383 0.1360
H1 H 0.2534 0.5029 0.8703
Rh1 Rh 0.0015 0.7517 0.3668
Rh2 Rh 0.4960 0.2438 0.3801
Rh3 Rh 0.4962 0.7535 0.1251
# Fermi-level density of states (states/eV per cell): 11.796
# Density (g cm⁻³): 10.551



Of them, A has the lowest stability.



A | # Fe2HRh PBE relaxed
data_Fe2HRh
_chemical_formula_sum 'Fe8 H4 Rh4'
_symmetry_space_group_name_H-M 'P 1 21/c 1'
_symmetry_Int_Tables_number 14
_symmetry_space_group_name_Hall '-P 2ybc'
_cell_length_a 7.1096
_cell_length_b 4.5112
_cell_length_c 5.0856
_cell_angle_alpha 90.00
_cell_angle_beta 90.87
_cell_angle_gamma 90.00
loop_
_atom_site_label
_atom_site_type_symbol
_atom_site_fract_x
_atom_site_fract_y
_atom_site_fract_z
Fe1 Fe 0.0868 0.2307 0.3854
Fe2 Fe 0.2611 0.6889 0.5462
H1 H 0.0888 0.6620 0.8409
Rh1 Rh 0.4130 0.1776 0.6724
# Fermi-level density of states (states/eV per cell): 13.795
# Density (g cm⁻³): 8.781



B | # Fe2HRh PBE relaxed
data_Fe2HRh
_chemical_formula_sum 'Fe8 H4 Rh4'
_symmetry_space_group_name_H-M 'I -4 2 d'
_symmetry_Int_Tables_number 122
_symmetry_space_group_name_Hall 'I -4 2bw'
_cell_length_a 5.5860
_cell_length_b 5.5860
_cell_length_c 4.9690
_cell_angle_alpha 90.00
_cell_angle_beta 90.00
_cell_angle_gamma 90.00
loop_
_atom_site_label
_atom_site_type_symbol
_atom_site_fract_x
_atom_site_fract_y
_atom_site_fract_z
Fe1 Fe 0.1374 0.2500 0.1250
H1 H 0.0000 0.0000 0.0000
Rh1 Rh 0.0000 0.0000 0.5000
# Fermi-level density of states (states/eV per cell): 28.387
# Density (g cm⁻³): 9.236



C | # Fe2HRh PBE relaxed
data_Fe2HRh
_chemical_formula_sum 'Fe6 H3 Rh3'
_symmetry_space_group_name_H-M 'R -3 m'
_symmetry_Int_Tables_number 166
_symmetry_space_group_name_Hall '-R 3 2"'
_cell_length_a 2.6616
_cell_length_b 2.6616
_cell_length_c 19.5784
_cell_angle_alpha 90.00
_cell_angle_beta 90.00
_cell_angle_gamma 120.00
loop_
_atom_site_label
_atom_site_type_symbol
_atom_site_fract_x
_atom_site_fract_y
_atom_site_fract_z
Fe1 Fe 0.0000 0.0000 0.2241
H1 H 0.0000 0.0000 0.5000
Rh1 Rh 0.0000 0.0000 0.0000
# Fermi-level density of states (states/eV per cell): 12.143
# Density (g cm⁻³): 8.942



Of them, B has the lowest stability.



A | # Fe2HRh PBE relaxed
data_Fe2HRh
_chemical_formula_sum 'Fe8 H4 Rh4'
_symmetry_space_group_name_H-M 'F m -3 m'
_symmetry_Int_Tables_number 225
_symmetry_space_group_name_Hall '-F 4 2 3'
_cell_length_a 5.5408
_cell_length_b 5.5408
_cell_length_c 5.5408
_cell_angle_alpha 90.00
_cell_angle_beta 90.00
_cell_angle_gamma 90.00
loop_
_atom_site_label
_atom_site_type_symbol
_atom_site_fract_x
_atom_site_fract_y
_atom_site_fract_z
Fe1 Fe 0.2500 0.2500 0.2500
H1 H 0.0000 0.0000 0.0000
Rh1 Rh 0.0000 0.0000 0.5000
# Fermi-level density of states (states/eV per cell): 37.649
# Density (g cm⁻³): 8.419



B | # Fe2HRh PBE relaxed
data_Fe2HRh
_chemical_formula_sum 'Fe6 H3 Rh3'
_symmetry_space_group_name_H-M 'R 3 m'
_symmetry_Int_Tables_number 160
_symmetry_space_group_name_Hall 'R 3 -2"'
_cell_length_a 2.6669
_cell_length_b 2.6669
_cell_length_c 19.4150
_cell_angle_alpha 90.00
_cell_angle_beta 90.00
_cell_angle_gamma 120.00
loop_
_atom_site_label
_atom_site_type_symbol
_atom_site_fract_x
_atom_site_fract_y
_atom_site_fract_z
Fe1 Fe 0.0000 0.0000 0.0000
Fe2 Fe 0.0000 0.0000 0.2193
H1 H 0.0000 0.0000 0.6132
Rh1 Rh 0.0000 0.0000 0.4432
# Fermi-level density of states (states/eV per cell): 14.846
# Density (g cm⁻³): 8.979



Of them, A has the lowest stability.



A | # Fe2H2Rh3 PBE relaxed
data_Fe2H2Rh3
_chemical_formula_sum 'Fe4 H4 Rh6'
_symmetry_space_group_name_H-M 'C 1 2/m 1'
_symmetry_Int_Tables_number 12
_symmetry_space_group_name_Hall '-C 2y'
_cell_length_a 9.1444
_cell_length_b 2.7135
_cell_length_c 6.6424
_cell_angle_alpha 90.00
_cell_angle_beta 116.10
_cell_angle_gamma 90.00
loop_
_atom_site_label
_atom_site_type_symbol
_atom_site_fract_x
_atom_site_fract_y
_atom_site_fract_z
Fe1 Fe 0.1660 0.0000 0.3035
H1 H 0.1558 0.0000 0.5785
Rh1 Rh 0.0000 0.5000 0.5000
Rh2 Rh 0.1176 0.5000 0.9428
# Fermi-level density of states (states/eV per cell): 11.876
# Density (g cm⁻³): 9.479



B | # Fe2H2Rh3 PBE relaxed
data_Fe2H2Rh3
_chemical_formula_sum 'Fe4 H4 Rh6'
_symmetry_space_group_name_H-M 'I m m m'
_symmetry_Int_Tables_number 71
_symmetry_space_group_name_Hall '-I 2 2'
_cell_length_a 2.7149
_cell_length_b 4.0888
_cell_length_c 13.1701
_cell_angle_alpha 90.00
_cell_angle_beta 90.00
_cell_angle_gamma 90.00
loop_
_atom_site_label
_atom_site_type_symbol
_atom_site_fract_x
_atom_site_fract_y
_atom_site_fract_z
Fe1 Fe 0.0000 0.0000 0.1219
H1 H 0.0000 0.5000 0.4433
Rh1 Rh 0.0000 0.0000 0.3118
Rh2 Rh 0.0000 0.5000 0.0000
# Fermi-level density of states (states/eV per cell): 15.017
# Density (g cm⁻³): 9.596



Of them, B has the lowest stability.



A | # Fe3H4Rh PBE relaxed
data_Fe3H4Rh
_chemical_formula_sum 'Fe3 H4 Rh1'
_symmetry_space_group_name_H-M 'P m -3 m'
_symmetry_Int_Tables_number 221
_symmetry_space_group_name_Hall '-P 4 2 3'
_cell_length_a 3.8558
_cell_length_b 3.8558
_cell_length_c 3.8558
_cell_angle_alpha 90.00
_cell_angle_beta 90.00
_cell_angle_gamma 90.00
loop_
_atom_site_label
_atom_site_type_symbol
_atom_site_fract_x
_atom_site_fract_y
_atom_site_fract_z
Fe1 Fe 0.0000 0.0000 0.5000
H1 H 0.0000 0.0000 0.0000
H2 H 0.0000 0.5000 0.5000
Rh1 Rh 0.5000 0.5000 0.5000
# Fermi-level density of states (states/eV per cell): 2.470
# Density (g cm⁻³): 7.951



B | # Fe3H4Rh PBE relaxed
data_Fe3H4Rh
_chemical_formula_sum 'Fe6 H8 Rh2'
_symmetry_space_group_name_H-M 'C m m m'
_symmetry_Int_Tables_number 65
_symmetry_space_group_name_Hall '-C 2 2'
_cell_length_a 5.4437
_cell_length_b 7.6911
_cell_length_c 2.7284
_cell_angle_alpha 90.00
_cell_angle_beta 90.00
_cell_angle_gamma 90.00
loop_
_atom_site_label
_atom_site_type_symbol
_atom_site_fract_x
_atom_site_fract_y
_atom_site_fract_z
Fe1 Fe 0.0000 0.0000 0.0000
Fe2 Fe 0.2500 0.2500 0.5000
H1 H 0.0000 0.2389 0.0000
H2 H 0.2289 0.0000 0.5000
Rh1 Rh 0.0000 0.5000 0.0000
# Fermi-level density of states (states/eV per cell): 8.381
# Density (g cm⁻³): 7.980



Of them, B has the lowest stability.



A | # FeHRu2Rh PBE relaxed
data_FeHRu2Rh
_chemical_formula_sum 'Fe1 H1 Ru2 Rh1'
_symmetry_space_group_name_H-M 'P 4/m m m'
_symmetry_Int_Tables_number 123
_symmetry_space_group_name_Hall '-P 4 2'
_cell_length_a 3.8482
_cell_length_b 3.8482
_cell_length_c 3.8523
_cell_angle_alpha 90.00
_cell_angle_beta 90.00
_cell_angle_gamma 90.00
loop_
_atom_site_label
_atom_site_type_symbol
_atom_site_fract_x
_atom_site_fract_y
_atom_site_fract_z
Fe1 Fe 0.0000 0.0000 0.0000
H1 H 0.5000 0.5000 0.5000
Ru1 Ru 0.0000 0.5000 0.5000
Rh1 Rh 0.5000 0.5000 0.0000
# Fermi-level density of states (states/eV per cell): 4.539
# Density (g cm⁻³): 10.534



B | # FeHRu2Rh PBE relaxed
data_FeHRu2Rh
_chemical_formula_sum 'Fe1 H1 Ru2 Rh1'
_symmetry_space_group_name_H-M 'P 4/m m m'
_symmetry_Int_Tables_number 123
_symmetry_space_group_name_Hall '-P 4 2'
_cell_length_a 3.8168
_cell_length_b 3.8168
_cell_length_c 3.7723
_cell_angle_alpha 90.00
_cell_angle_beta 90.00
_cell_angle_gamma 90.00
loop_
_atom_site_label
_atom_site_type_symbol
_atom_site_fract_x
_atom_site_fract_y
_atom_site_fract_z
Fe1 Fe 0.0000 0.0000 0.0000
H1 H 0.0000 0.0000 0.5000
Ru1 Ru 0.0000 0.5000 0.5000
Rh1 Rh 0.5000 0.5000 0.0000
# Fermi-level density of states (states/eV per cell): 7.151
# Density (g cm⁻³): 10.935



Of them, B has the lowest stability.